DFT (PBE-GGA) results for an optimized crystal structure of SrRh2Au.

**Mass density**: 10.23 g/cm³
**E_tot**: -4.7622 eV per atom
**DFT formation energy**: 0.153 eV/atom

Lattice parameters (Å, degrees): 3.478 3.478 6.581 90.00 90.00 90.00
Space group P4/mmm (No. 123)
Symmetry-distinct sites (fractional):
Sr 0.000 0.000 0.000 [1 per cell]
Rh 0.500 0.500 0.300 [2 per cell]
Au 0.000 0.000 0.500 [1 per cell]

DFT (PBE-GGA) results for an optimized crystal structure of Er6SbSe3S2.

**Mass density**: 8.45 g/cm³
**Formation energy (no corrections)**: -1.662 eV/atom
**E_tot**: -5.8461 eV per atom

Lattice parameters (Å, degrees): 17.640 4.032 8.114 90.00 103.78 90.00
Space group C2/m (No. 12)
Symmetry-distinct sites (fractional):
Er 0.010 0.000 0.266 [4 per cell]
Er 0.172 0.500 0.572 [4 per cell]
Er 0.173 0.500 0.111 [4 per cell]
Sb 0.000 0.500 0.000 [2 per cell]
Se 0.000 0.500 0.500 [2 per cell]
Se 0.162 0.000 0.834 [4 per cell]
S 0.170 0.000 0.339 [4 per cell]

DFT (PBE-GGA) results for an optimized crystal structure of Sm2ErZn2.

**Mass density**: 7.88 g/cm³
**Energy relative to the lowest polymorph listed for this composition**: 0.000 eV per atom
**E_tot**: -3.5584 eV per atom
**DFT formation energy**: -0.249 eV/atom

Lattice parameters (Å, degrees): 3.648 5.147 13.565 90.00 97.76 90.00
Space group P2_1/m (No. 11)
Symmetry-distinct sites (fractional):
Sm 0.046 0.250 0.091 [2 per cell]
Sm 0.231 0.250 0.464 [2 per cell]
Er 0.144 0.750 0.286 [2 per cell]
Zn 0.361 0.750 0.722 [2 per cell]
Zn 0.447 0.250 0.894 [2 per cell]

DFT (PBE-GGA) results for an optimized crystal structure of Li4PmHg.

**Mass density**: 5.26 g/cm³
**E_tot**: -2.2348 eV per atom
**DFT formation energy**: -0.117 eV/atom

Lattice parameters (Å, degrees): 7.783 7.783 7.783 90.00 90.00 90.00
Space group F-43m (No. 216)
Symmetry-distinct sites (fractional):
Li 0.123 0.123 0.123 [16 per cell]
Pm 0.000 0.000 0.500 [4 per cell]
Hg 0.250 0.250 0.750 [4 per cell]

DFT (PBE-GGA) results for an optimized crystal structure of LiBe2Re.

**Mass density**: 7.26 g/cm³
**Energy relative to the lowest polymorph listed for this composition**: 0.201 eV per atom
**E_tot**: -5.2727 eV per atom
**DFT formation energy**: 0.181 eV/atom

Lattice parameters (Å, degrees): 3.174 4.058 7.500 90.00 90.00 90.00
Space group Cmmm (No. 65)
Symmetry-distinct sites (fractional):
Li 0.000 0.000 0.000 [2 per cell]
Be 0.000 0.500 0.257 [4 per cell]
Re 0.000 0.000 0.500 [2 per cell]

DFT (PBE-GGA) results for an optimized crystal structure of B5C7.

**Mass density**: 2.92 g/cm³
**Energy relative to the lowest polymorph listed for this composition**: 0.156 eV per atom
**E_tot**: -7.7492 eV per atom
**DFT formation energy**: 0.414 eV/atom

Lattice parameters (Å, degrees): 4.499 2.547 6.843 90.00 91.07 90.00
Space group Pm (No. 6)
Symmetry-distinct sites (fractional):
B 0.000 0.000 0.000 [1 per cell]
B 0.065 0.000 0.757 [1 per cell]
B 0.445 0.500 0.798 [1 per cell]
B 0.646 0.000 0.665 [1 per cell]
B 0.796 0.500 0.123 [1 per cell]
C 0.135 0.500 0.644 [1 per cell]
C 0.152 0.500 0.425 [1 per cell]
C 0.316 0.000 0.350 [1 per cell]
C 0.327 0.000 0.126 [1 per cell]
C 0.448 0.500 0.034 [1 per cell]
C 0.653 0.000 0.433 [1 per cell]
C 0.812 0.500 0.354 [1 per cell]

DFT (PBE-GGA) results for an optimized crystal structure of Er5Tm2Bi5.

**Mass density**: 9.94 g/cm³
**E_tot**: -4.7930 eV per atom
**DFT formation energy**: -0.530 eV/atom

Lattice parameters (Å, degrees): 14.563 4.401 12.596 90.00 113.34 90.00
Space group C2/m (No. 12)
Symmetry-distinct sites (fractional):
Er 0.000 0.000 0.000 [2 per cell]
Er 0.164 0.000 0.528 [4 per cell]
Er 0.201 0.000 0.827 [4 per cell]
Tm 0.052 0.500 0.288 [4 per cell]
Bi 0.000 0.500 0.500 [2 per cell]
Bi 0.121 0.500 0.941 [4 per cell]
Bi 0.197 0.000 0.278 [4 per cell]

DFT (PBE-GGA) results for an optimized crystal structure of KEuZnBi.

**Mass density**: 5.91 g/cm³
**E_tot**: -4.4945 eV per atom
**DFT formation energy**: -0.363 eV/atom

Lattice parameters (Å, degrees): 8.057 8.057 8.057 90.00 90.00 90.00
Space group F-43m (No. 216)
Symmetry-distinct sites (fractional):
K 0.000 0.000 0.000 [4 per cell]
Eu 0.000 0.000 0.500 [4 per cell]
Zn 0.250 0.250 0.250 [4 per cell]
Bi 0.250 0.250 0.750 [4 per cell]

DFT (PBE-GGA) results for an optimized crystal structure of Zn2Cd2Ag.

**Mass density**: 8.17 g/cm³
**Energy relative to the lowest polymorph listed for this composition**: 0.003 eV per atom
**E_tot**: -1.4159 eV per atom
**DFT formation energy**: 0.030 eV/atom

Lattice parameters (Å, degrees): 5.077 6.037 7.184 71.06 76.50 65.62
Space group P-1 (No. 2)
Symmetry-distinct sites (fractional):
Zn 0.213 0.086 0.409 [2 per cell]
Zn 0.236 0.296 0.031 [2 per cell]
Cd 0.190 0.789 0.171 [2 per cell]
Cd 0.275 0.391 0.601 [2 per cell]
Ag 0.323 0.746 0.771 [2 per cell]

DFT (PBE-GGA) results for an optimized crystal structure of Tb2MnZn12Ni3.

**Mass density**: 6.20 g/cm³
**E_tot**: -2.5885 eV per atom
**DFT formation energy**: 0.248 eV/atom

Lattice parameters (Å, degrees): 8.6380 8.6380 16.5978 90.00 90.00 120.00
Space group R-3m (No. 166, hexagonal axes)
Symmetry-distinct sites (fractional):
Tb 0.0000 0.0000 0.0990 [6 per cell]
Mn 0.0000 0.0000 0.5000 [3 per cell]
Zn 0.0082 0.5041 0.8608 [18 per cell]
Zn 0.0350 0.5175 0.3112 [18 per cell]
Ni 0.0000 0.5000 0.0000 [9 per cell]

DFT (PBE-GGA) results for an optimized crystal structure of KSr2Rh.

**Mass density**: 2.96 g/cm³
**Energy relative to the lowest polymorph listed for this composition**: 0.184 eV per atom
**E_tot**: -2.8445 eV per atom
**DFT formation energy**: 0.109 eV/atom

Lattice parameters (Å, degrees): 4.243 4.243 9.876 90.00 90.00 90.00
Space group P4mm (No. 99)
Symmetry-distinct sites (fractional):
K 0.000 0.000 0.000 [1 per cell]
Sr 0.000 0.000 0.373 [1 per cell]
Sr 0.500 0.500 0.647 [1 per cell]
Rh 0.500 0.500 0.368 [1 per cell]

DFT (PBE-GGA) results for an optimized crystal structure of SrDyPu2O8.

**Mass density**: 9.18 g/cm³
**Formation energy (no corrections)**: -2.864 eV/atom
**E_tot**: -9.0813 eV per atom

Lattice parameters (Å, degrees): 5.432 5.432 10.624 90.00 90.00 90.00
Space group I-4m2 (No. 119)
Symmetry-distinct sites (fractional):
Sr 0.000 0.000 0.000 [2 per cell]
Dy 0.000 0.500 0.750 [2 per cell]
Pu 0.000 0.000 0.500 [2 per cell]
Pu 0.000 0.500 0.250 [2 per cell]
O 0.225 0.241 0.372 [16 per cell]

Which value of E_tot does entry 4 give?
-2.2348 eV per atom

Number 9 is which compound?
Zn2Cd2Ag

Which value of E_tot does entry 10 give?
-2.5885 eV per atom

Look up the mass density of the fifth one.
7.26 g/cm³